Entry i
Compound: BeZnCr2
Source: Alexandria
Functional: PBEsol
Structure: relaxed

Calculated values
- total moment (μB/f.u.) = 0.0

Cell lengths 2.415, 2.415, 7.881 Å; angles 90.00, 90.00, 106.89 degrees
Fractional positions:
Cr: 0.500 0.500 0.762
Zn: 0.000 0.000 0.489
Cr: 0.000 0.000 0.010
Be: 0.500 0.500 0.240

---

Entry ii
Compound: BeZnCr2
Source: Alexandria
Functional: PBEsol
Structure: relaxed

Calculated values
- total moment (μB/f.u.) = 0.0

Cell lengths 2.393, 3.870, 4.761 Å; angles 90.00, 97.87, 90.00 degrees
Fractional positions:
Cr: 0.030 0.000 0.274
Zn: 0.500 0.500 0.000
Be: 0.500 0.500 0.500
Cr: 0.970 0.000 0.726

---

Stability check: which of them is most stable? entry i.

---

Entry i
Compound: Be4Cu3
Source: Alexandria
Functional: PBEsol
Structure: relaxed

Calculated values
- total moment (μB/f.u.) = 0.0

Cell lengths 4.077, 4.529, 4.529 Å; angles 120.00, 90.00, 90.00 degrees
Fractional positions:
Cu: 0.000 0.500 0.500
Be: 0.500 0.333 0.667
Be: 0.752 0.000 0.000
Cu: 0.000 0.000 0.500
Be: 0.248 0.000 0.000
Be: 0.500 0.667 0.333
Cu: 0.000 0.500 0.000

---

Entry ii
Compound: Be4Cu3
Source: Alexandria
Functional: PBEsol
Structure: relaxed

Calculated values
- total moment (μB/f.u.) = 0.0

Cell lengths 2.647, 2.647, 9.436 Å; angles 98.06, 98.06, 90.00 degrees
Fractional positions:
Be: 0.135 0.135 0.269
Be: 0.865 0.865 0.731
Cu: 0.000 0.000 0.000
Be: 0.571 0.571 0.142
Be: 0.429 0.429 0.858
Cu: 0.296 0.296 0.592
Cu: 0.704 0.704 0.408

---

Stability check: which of them is most stable? entry ii.

---

Entry i
Compound: Be3Cu5
Source: Alexandria
Functional: PBEsol
Structure: relaxed

Calculated values
- total moment (μB/f.u.) = 0.0

Cell lengths 4.530, 6.400, 6.400 Å; angles 120.00, 90.00, 90.00 degrees
Fractional positions:
Cu: 0.250 0.238 0.238
Cu: 0.500 0.333 0.667
Be: 0.750 0.000 0.596
Cu: 0.000 0.667 0.333
Be: 0.250 0.404 0.000
Cu: 0.250 0.762 0.000
Be: 0.750 0.404 0.404
Cu: 0.500 0.667 0.333
Cu: 0.750 0.762 0.762
Cu: 0.250 0.000 0.762
Cu: 0.750 0.238 0.000
Cu: 0.000 0.333 0.667
Be: 0.750 0.596 0.000
Cu: 0.750 0.000 0.238
Be: 0.250 0.596 0.596
Be: 0.250 0.000 0.404

---

Entry ii
Compound: Be3Cu5
Source: Alexandria
Functional: PBEsol
Structure: relaxed

Calculated values
- total moment (μB/f.u.) = 0.0

Cell lengths 3.679, 4.720, 4.720 Å; angles 102.38, 90.00, 90.00 degrees
Fractional positions:
Cu: 0.500 0.720 0.720
Be: 0.500 0.234 0.766
Cu: 0.000 0.500 0.000
Cu: 0.000 0.000 0.000
Be: 0.500 0.766 0.234
Cu: 0.500 0.280 0.280
Be: 0.000 0.500 0.500
Cu: 0.000 0.000 0.500

---

Stability check: which of them is most stable? entry ii.

---

Entry i
Compound: Be2CuIr
Source: Alexandria
Functional: PBEsol
Structure: relaxed

Calculated values
- total moment (μB/f.u.) = 0.0

Cell lengths 3.854, 3.854, 3.854 Å; angles 60.00, 60.00, 60.00 degrees
Fractional positions:
Ir: 0.500 0.500 0.500
Be: 0.750 0.750 0.750
Cu: 0.000 0.000 0.000
Be: 0.250 0.250 0.250

---

Entry ii
Compound: Be2CuIr
Source: Alexandria
Functional: PBEsol
Structure: relaxed

Calculated values
- total moment (μB/f.u.) = 0.0

Cell lengths 2.805, 2.805, 5.235 Å; angles 90.00, 90.00, 90.00 degrees
Fractional positions:
Be: 0.000 0.000 0.738
Be: 0.000 0.000 0.262
Ir: 0.500 0.500 0.500
Cu: 0.500 0.500 0.000

---

Stability check: which of them is most stable? entry ii.